1.
This record from Alexandria via LeMat-Bulk describes a relaxed structure of BeAg. The functional is PBE.

The structure belongs to space group P4/nmm (No. 129, origin choice 2); the cell edges are 2.866, 2.866 and 6.292 Å and the angles 90.00°, 90.00° and 90.00°. The asymmetric unit holds Be at (0.250, 0.250, 0.084) and Ag at (0.250, 0.250, 0.676).

Its total energy is -12.648 eV/cell. The value obtained for the mass density is 7.51 g/cm³. Its volume is 12.92 Å³ per atom. For the energy of formation, the calculation gives 0.127 eV per atom.

=====

2.
This record from Alexandria via LeMat-Bulk describes a relaxed structure of La2TlCl. The functional is PBE.

The structure belongs to space group R3m (No. 160, hexagonal axes); the cell edges are 3.8333, 3.8333 and 32.6631 Å and the angles 90.00°, 90.00° and 120.00°. The asymmetric unit holds La at (0.0000, 0.0000, 0.0000), La at (0.0000, 0.0000, 0.2461), Tl at (0.0000, 0.0000, 0.7499) and Cl at (0.0000, 0.0000, 0.5209).

The value obtained for the relative energy among the computed polymorphs is 107 kJ/mol of formula units. The calculation puts the formation energy from raw total energies at -0.6708 eV per atom. Its total energy is -50.253 eV/cell. The value obtained for the mass density is 6.20 g/cm³. Its volume is 34.64 Å³ per atom.

=====

3.
This record from Alexandria via LeMat-Bulk describes a relaxed structure of LiLaTl4. The functional is PBE.

The structure belongs to space group F-43m (No. 216); the cell edges are 8.951, 8.951 and 8.951 Å and the angles 90.00°, 90.00° and 90.00°. The asymmetric unit holds Li at (0.000, 0.000, 0.000), La at (0.250, 0.250, 0.250) and Tl at (0.125, 0.125, 0.625).

The value obtained for the relative energy among the computed polymorphs is 80 kJ/mol of formula units. Its total energy is -66.142 eV/cell. The value obtained for the mass density is 8.92 g/cm³. Its volume is 29.89 Å³ per atom. For the energy of formation, the calculation gives -0.038 eV per atom.

=====

4.
This record from Alexandria via LeMat-Bulk describes a relaxed structure of ZnSnRu2S. The functional is PBE.

The structure belongs to space group P4/mmm (No. 123); the cell edges are 4.785, 4.785 and 4.273 Å and the angles 90.00°, 90.00° and 90.00°. The asymmetric unit holds Zn at (0.000, 0.000, 0.000), Sn at (0.500, 0.500, 0.500), Ru at (0.000, 0.500, 0.000) and S at (0.000, 0.000, 0.500).

The calculation puts the formation energy from raw total energies at 1.0868 eV per atom. Its total energy is -22.522 eV/cell. The value obtained for the mass density is 7.10 g/cm³. Its volume is 19.57 Å³ per atom.

=====

5.
This record from Alexandria via LeMat-Bulk describes a relaxed structure of SeF. The functional is PBE.

The structure belongs to space group P4/m (No. 83); the cell edges are 11.051, 11.051 and 2.874 Å and the angles 90.00°, 90.00° and 90.00°. The asymmetric unit holds Se at (0.019, 0.380, 0.000), Se at (0.356, 0.564, 0.500), F at (0.117, 0.711, 0.000) and F at (0.188, 0.464, 0.500).

The value obtained for the relative energy among the computed polymorphs is 45 kJ/mol of formula units. The calculation puts the formation energy from raw total energies at -0.8329 eV per atom. Its total energy is -56.174 eV/cell. The value obtained for the mass density is 3.71 g/cm³. Its volume is 21.93 Å³ per atom.

=====

6.
This record from Alexandria via LeMat-Bulk describes a relaxed structure of MgBe2Cd. The functional is PBE.

The structure belongs to space group F-43m (No. 216); the cell edges are 6.173, 6.173 and 6.173 Å and the angles 90.00°, 90.00° and 90.00°. The asymmetric unit holds Mg at (0.000, 0.000, 0.000), Be at (0.000, 0.000, 0.500), Be at (0.250, 0.250, 0.250) and Cd at (0.250, 0.250, 0.750).

The value obtained for the relative energy among the computed polymorphs is 67 kJ/mol of formula units. Its total energy is -32.431 eV/cell. The value obtained for the mass density is 4.37 g/cm³. Its volume is 14.70 Å³ per atom. For the energy of formation, the calculation gives 0.464 eV per atom.

=====

7.
This record from Alexandria via LeMat-Bulk describes a relaxed structure of YSi3Se. The functional is PBE.

The structure belongs to space group Pm-3m (No. 221); the cell edges are 5.385, 5.385 and 5.385 Å and the angles 90.00°, 90.00° and 90.00°. The asymmetric unit holds Y at (0.000, 0.000, 0.000), Si at (0.000, 0.000, 0.500) and Se at (0.500, 0.500, 0.500).

The value obtained for the relative energy among the computed polymorphs is 363 kJ/mol of formula units. The calculation puts the formation energy from raw total energies at 1.3029 eV per atom. Its total energy is -19.703 eV/cell. The value obtained for the mass density is 2.68 g/cm³. Its volume is 31.23 Å³ per atom.

=====

8.
This record from Alexandria via LeMat-Bulk describes a relaxed structure of TaTeW2. The functional is PBE.

The structure belongs to space group P2/m (No. 10); the cell edges are 3.170, 4.244 and 5.476 Å and the angles 90.00°, 90.11° and 90.00°. The asymmetric unit holds Ta at (0.000, 0.000, 0.000), Te at (0.000, 0.000, 0.500) and W at (0.498, 0.500, 0.229).

The calculation puts the formation energy from raw total energies at 0.5434 eV per atom. Its total energy is -38.727 eV/cell. The value obtained for the mass density is 15.24 g/cm³. Its volume is 18.42 Å³ per atom.